1.
12
Lattice="5.495 0.116 -2.062 -1.006 5.404 -2.062 -0.005 -0.006 8.185" Properties=species:S:1:pos:R:3 comment="GGA-PBE Pm2BeGe3, optimized geometry" delta_e_f_kj_per_mol_fu=-384 volume_a3_per_atom=20.32 crystal_system=orthorhombic rho_g_cm3=7.04 polymorph_energy_mev_per_atom=0.0 pbc="T T T"
Pm 0.617 4.079 2.030
Pm 3.914 1.402 -2.062
Pm 0.575 4.117 -2.062
Pm 3.868 1.435 2.030
Ge 0.809 0.995 6.006
Ge 3.675 4.519 -1.946
Ge 2.887 3.549 4.096
Ge 3.700 4.549 1.915
Ge 0.785 0.965 2.145
Ge 1.598 1.964 -0.036
Be 2.990 3.677 -0.024
Be 1.494 1.837 4.084

=====

2.
11
Lattice="4.094 0.000 0.000 0.000 4.094 0.000 -2.047 -2.047 13.561" Properties=species:S:1:pos:R:3 comment="GGA-PBE Pm3Be2Ge6, optimized geometry" delta_e_f_kj_per_mol_fu=-424 volume_a3_per_atom=20.66 crystal_system=tetragonal rho_g_cm3=6.49 pbc="T T T"
Pm 0.000 0.000 0.000
Pm 0.000 0.000 4.601
Pm 2.047 2.047 8.959
Ge 0.000 2.047 11.276
Ge 0.000 0.000 7.505
Ge 2.047 0.000 2.285
Ge 0.000 2.047 2.285
Ge 2.047 0.000 11.276
Ge 2.047 2.047 6.056
Be 2.047 2.047 3.753
Be 0.000 0.000 9.807

=====

3.
4
Lattice="3.699 0.000 -1.592 -0.624 3.704 -1.450 0.205 0.022 5.569" Properties=species:S:1:pos:R:3 comment="GGA-PBE PmBeGe2, optimized geometry" delta_e_f_kj_per_mol_fu=-158 volume_a3_per_atom=19.41 crystal_system=tetragonal rho_g_cm3=6.40 polymorph_energy_mev_per_atom=0.0 pbc="T T T"
Ge 3.105 2.992 2.120
Ge 0.768 0.275 1.783
Be 3.016 0.710 1.915
Pm 1.833 1.623 -0.835

=====

4.
11
Lattice="-1.071 3.853 -0.198 -0.449 -0.334 -4.081 -10.517 -4.816 3.632" Properties=species:S:1:pos:R:3 comment="GGA-PBE Pm3Be4Ge4, optimized geometry" delta_e_f_kj_per_mol_fu=-581 volume_a3_per_atom=17.66 crystal_system=orthorhombic rho_g_cm3=6.51 pbc="T T T"
Pm -8.155 -2.317 -0.991
Pm 0.000 0.000 0.000
Pm -3.882 1.019 0.344
Ge -10.075 -2.731 1.333
Ge -1.961 1.434 -1.981
Ge -7.414 0.062 0.811
Ge -4.623 -1.359 -1.459
Be -6.403 0.230 -1.393
Be -2.413 -0.761 -1.751
Be -9.623 -0.537 1.104
Be -5.634 -1.527 0.745

=====

5.
10
Lattice="-2.021 2.433 -2.684 1.733 -2.050 -3.163 -7.436 -6.224 -0.041" Properties=species:S:1:pos:R:3 comment="GGA-PBE Pm2Be3GePt4, optimized geometry" delta_e_f_kj_per_mol_fu=-858 volume_a3_per_atom=16.69 crystal_system=tetragonal rho_g_cm3=11.64 pbc="T T T"
Pt -0.144 0.191 -2.924
Pt -5.766 -2.764 -1.369
Pt -1.813 -3.268 -1.596
Pt 0.000 0.000 0.000
Be -3.718 -3.112 -0.021
Be -7.565 -4.270 -1.378
Be -0.014 -1.763 -1.586
Pm -2.852 -0.325 -1.352
Pm -4.728 -5.708 -1.612
Ge -3.862 -2.921 -2.944

=====

6.
10
Lattice="4.278 0.000 0.000 0.000 4.278 0.000 0.000 0.000 10.101" Properties=species:S:1:pos:R:3 comment="GGA-PBE Pm2BeGe3Pt4, optimized geometry" delta_e_f_kj_per_mol_fu=-880 volume_a3_per_atom=18.48 crystal_system=tetragonal rho_g_cm3=11.66 pbc="T T T"
Pt 2.139 2.139 0.000
Pt 0.000 0.000 0.000
Pt 0.000 2.139 3.844
Pt 2.139 0.000 6.257
Be 2.139 2.139 5.050
Ge 0.000 0.000 5.050
Ge 0.000 2.139 1.392
Ge 2.139 0.000 8.708
Pm 0.000 2.139 7.474
Pm 2.139 0.000 2.627

=====

7.
15
Lattice="5.843 0.000 0.000 -2.921 5.060 0.000 0.000 0.000 9.323" Properties=species:S:1:pos:R:3 comment="GGA-PBE Pm3Be2GePt9, optimized geometry" delta_e_f_kj_per_mol_fu=-1169 volume_a3_per_atom=18.38 crystal_system=trigonal rho_g_cm3=13.74 pbc="T T T"
Pt 1.441 0.832 6.542
Pt 1.461 2.530 0.000
Pt 2.921 0.000 0.000
Pt 2.921 3.397 6.542
Pt 4.402 0.832 6.542
Pt 1.481 4.228 2.781
Pt 0.000 1.663 2.781
Pt -1.481 4.228 2.781
Pt -1.461 2.530 0.000
Be 0.000 3.373 1.403
Be 2.921 1.687 7.920
Pm 0.000 3.373 5.772
Pm 0.000 0.000 0.000
Pm 2.921 1.687 3.551
Ge 0.000 0.000 4.662

=====

8.
12
Lattice="5.603 0.000 0.000 0.000 6.431 0.000 0.000 -3.216 5.970" Properties=species:S:1:pos:R:3 comment="GGA-PBE PmBeGePt3, optimized geometry" delta_e_f_kj_per_mol_fu=-442 volume_a3_per_atom=17.93 crystal_system=orthorhombic rho_g_cm3=12.53 pbc="T T T"
Ge 4.202 3.216 1.530
Ge 1.401 0.000 4.441
Pm 1.401 3.216 2.684
Pm 4.202 0.000 3.287
Pt 0.000 1.760 0.000
Pt 1.401 0.000 2.034
Pt 0.000 4.672 0.000
Pt 2.802 4.672 0.000
Pt 4.202 3.216 3.936
Pt 2.802 1.760 0.000
Be 1.401 3.216 5.718
Be 4.202 0.000 0.253

=====

9.
10
Lattice="4.051 0.000 0.000 0.000 4.051 0.000 0.000 0.000 9.768" Properties=species:S:1:pos:R:3 comment="GGA-PBE Pm2Be4GePt3, optimized geometry" delta_e_f_kj_per_mol_fu=-701 volume_a3_per_atom=16.03 crystal_system=tetragonal rho_g_cm3=10.19 pbc="T T T"
Be 0.000 0.000 0.000
Be 2.025 2.025 0.000
Be 0.000 2.025 3.551
Be 2.025 0.000 6.217
Pm 0.000 2.025 7.327
Pm 2.025 0.000 2.441
Ge 2.025 2.025 4.884
Pt 2.025 0.000 8.628
Pt 0.000 0.000 4.884
Pt 0.000 2.025 1.140

=====

10.
10
Lattice="4.107 0.000 0.000 0.000 4.107 0.000 0.000 0.000 10.034" Properties=species:S:1:pos:R:3 comment="GGA-PBE Pm2Be3Ge4Pt, optimized geometry" delta_e_f_kj_per_mol_fu=-495 volume_a3_per_atom=16.93 crystal_system=tetragonal rho_g_cm3=7.88 pbc="T T T"
Ge 0.000 2.053 3.579
Ge 0.000 0.000 0.000
Ge 2.053 0.000 6.455
Ge 2.053 2.053 0.000
Be 0.000 2.053 1.301
Be 2.053 0.000 8.733
Be 0.000 0.000 5.017
Pm 2.053 0.000 2.507
Pm 0.000 2.053 7.527
Pt 2.053 2.053 5.017

=====

11.
10
Lattice="3.988 0.000 0.000 0.000 3.988 0.000 0.000 0.000 9.952" Properties=species:S:1:pos:R:3 comment="GGA-PBE Pm2Be4Ge3Pt, optimized geometry" delta_e_f_kj_per_mol_fu=-536 volume_a3_per_atom=15.82 crystal_system=tetragonal rho_g_cm3=7.76 pbc="T T T"
Be 1.994 0.000 6.270
Be 0.000 1.994 3.681
Be 1.994 1.994 0.000
Be 0.000 0.000 0.000
Pm 0.000 1.994 7.498
Pm 1.994 0.000 2.453
Ge 0.000 1.994 1.314
Ge 1.994 0.000 8.637
Ge 0.000 0.000 4.976
Pt 1.994 1.994 4.976

=====

12.
5
Lattice="-0.083 -1.888 -3.558 2.872 -2.523 1.272 -5.141 -1.124 2.998" Properties=species:S:1:pos:R:3 comment="GGA-PBE PmBeGe2Rh, optimized geometry" delta_e_f_kj_per_mol_fu=-305 volume_a3_per_atom=17.35 crystal_system=tetragonal rho_g_cm3=7.70 pbc="T T T"
Be -0.437 -2.926 1.563
Pm 0.000 0.000 0.000
Ge 0.493 -3.007 -0.697
Ge -2.845 -2.528 1.409
Rh -1.915 -2.609 -0.852

=====

13.
10
Lattice="3.983 0.000 0.000 0.000 3.983 0.000 0.000 0.000 9.886" Properties=species:S:1:pos:R:3 comment="GGA-PBE Pm2Be4Ge3Rh, optimized geometry" delta_e_f_kj_per_mol_fu=-478 volume_a3_per_atom=15.68 crystal_system=tetragonal rho_g_cm3=6.85 pbc="T T T"
Ge 1.991 0.000 8.576
Ge 0.000 1.991 1.310
Ge 0.000 0.000 4.943
Pm 0.000 1.991 7.430
Pm 1.991 0.000 2.456
Be 1.991 1.991 0.000
Be 0.000 0.000 0.000
Be 1.991 0.000 6.192
Be 0.000 1.991 3.694
Rh 1.991 1.991 4.943

=====

14.
12
Lattice="5.831 0.000 0.000 0.000 5.908 0.000 0.000 -2.954 5.874" Properties=species:S:1:pos:R:3 comment="GGA-PBE PmBeGeRh3, optimized geometry" delta_e_f_kj_per_mol_fu=-338 volume_a3_per_atom=16.86 crystal_system=orthorhombic rho_g_cm3=8.79 pbc="T T T"
Rh 2.916 4.337 0.000
Rh 1.458 0.000 2.011
Rh 2.916 1.571 0.000
Rh 0.000 1.571 0.000
Rh 4.373 2.954 3.864
Rh 0.000 4.337 0.000
Ge 4.373 2.954 1.508
Ge 1.458 0.000 4.366
Be 4.373 0.000 0.289
Be 1.458 2.954 5.585
Pm 1.458 2.954 2.629
Pm 4.373 0.000 3.245

=====

15.
10
Lattice="4.088 0.000 0.000 0.000 4.088 0.000 0.000 0.000 10.015" Properties=species:S:1:pos:R:3 comment="GGA-PBE Pm2Be3Ge4Rh, optimized geometry" delta_e_f_kj_per_mol_fu=-467 volume_a3_per_atom=16.73 crystal_system=tetragonal rho_g_cm3=7.05 pbc="T T T"
Pm 0.000 2.044 7.539
Pm 2.044 0.000 2.476
Be 0.000 2.044 1.306
Be 0.000 0.000 5.007
Be 2.044 0.000 8.709
Ge 2.044 0.000 6.391
Ge 0.000 2.044 3.624
Ge 0.000 0.000 0.000
Ge 2.044 2.044 0.000
Rh 2.044 2.044 5.007

=====

16.
10
Lattice="-3.177 1.643 2.218 -2.752 -1.608 -2.750 -0.536 -8.359 5.425" Properties=species:S:1:pos:R:3 comment="GGA-PBE Pm2BeGe3Rh4, optimized geometry" delta_e_f_kj_per_mol_fu=-789 volume_a3_per_atom=17.68 crystal_system=tetragonal rho_g_cm3=8.72 pbc="T T T"
Pm -1.775 -7.031 2.667
Pm -1.725 -1.310 2.493
Ge -2.052 -6.410 5.803
Ge -1.448 -1.931 -0.643
Ge -0.268 -4.179 2.713
Rh -1.920 -4.345 4.463
Rh -2.964 0.018 -0.266
Rh 0.000 0.000 0.000
Rh -1.580 -3.996 0.697
Be -3.232 -4.162 2.447

=====

17.
6
Lattice="4.273 0.000 0.000 0.000 4.273 0.000 0.000 0.000 5.482" Properties=species:S:1:pos:R:3 comment="GGA-PBE PmBeGe2Ru2, optimized geometry" delta_e_f_kj_per_mol_fu=-284 volume_a3_per_atom=16.68 crystal_system=tetragonal rho_g_cm3=8.32 pbc="T T T"
Be 0.000 0.000 0.000
Ru 2.136 0.000 0.000
Ru 0.000 2.136 0.000
Ge 2.136 2.136 1.454
Ge 2.136 2.136 4.028
Pm 0.000 0.000 2.741

=====

18.
10
Lattice="4.072 0.000 0.000 0.000 4.072 0.000 0.000 0.000 10.082" Properties=species:S:1:pos:R:3 comment="GGA-PBE Pm2Be3Ge4Ru, optimized geometry" delta_e_f_kj_per_mol_fu=-382 volume_a3_per_atom=16.72 crystal_system=tetragonal rho_g_cm3=7.04 pbc="T T T"
Be 0.000 0.000 5.041
Be 0.000 2.036 1.302
Be 2.036 0.000 8.780
Pm 0.000 2.036 7.620
Pm 2.036 0.000 2.462
Ge 2.036 2.036 0.000
Ge 0.000 0.000 0.000
Ge 2.036 0.000 6.432
Ge 0.000 2.036 3.651
Ru 2.036 2.036 5.041

=====

19.
4
Lattice="-4.684 0.436 -1.138 -3.066 -3.626 0.937 -3.307 0.471 3.502" Properties=species:S:1:pos:R:3 comment="GGA-PBE PmScBeGe, optimized geometry" delta_e_f_kj_per_mol_fu=-106 volume_a3_per_atom=20.04 crystal_system=cubic rho_g_cm3=5.63 pbc="T T T"
Sc -5.528 -1.359 1.651
Be -8.292 -2.039 2.476
Ge -2.764 -0.680 0.825
Pm 0.000 0.000 0.000

=====

20.
10
Lattice="-2.265 -3.202 -0.871 3.313 -2.119 -0.823 0.468 -2.813 9.130" Properties=species:S:1:pos:R:3 comment="GGA-PBE Pm2Be4Si3Ge, optimized geometry" volume_a3_per_atom=15.44 raw_formation_energy_ev_per_atom=-0.34 crystal_system=tetragonal rho_g_cm3=5.19 pbc="T T T"
Si 0.234 -1.407 4.565
Si -0.725 -4.051 7.516
Si 1.717 -1.423 0.767
Be 0.000 0.000 0.000
Be 1.829 -2.097 2.956
Be 0.524 -2.661 -0.847
Be -0.837 -3.376 5.326
Pm -1.016 -2.300 1.832
Pm 2.008 -3.174 6.451
Ge 0.758 -4.067 3.718